Record 1
The following is a DFT calculation (GGA-PBE) of a relaxed Y3Hg5 crystal.

Summary:
Total DFT energy (no corrections), eV/atom: -2.983
ΔE_f, eV per atom: -0.371
Polymorph energy (0 for the lowest one), eV per atom: 0.092
N(E_F), states/eV/cell: 12.4

Cell lengths 6.1524, 8.5704, 8.5862 Å; angles 87.60, 71.43, 72.60 degrees
Space group P-1 (No. 2)
One atom of each set of equivalent atoms:
Y: 0.2390 0.3139 0.0068
Y: 0.2465 0.4616 0.5451
Y: 0.2516 0.9926 0.6900
Hg: 0.1358 0.6432 0.1912
Hg: 0.1462 0.1816 0.3690
Hg: 0.2551 0.9548 0.0439
Hg: 0.3683 0.6294 0.8155
Hg: 0.3707 0.8063 0.3587

Record 2
The following is a DFT calculation (GGA-PBE) of a relaxed Y2Hg7 crystal.

Summary:
Total DFT energy (no corrections), eV/atom: -1.938
ΔE_f, eV per atom: -0.266
N(E_F), states/eV/cell: 3.0

Cell lengths 5.1431, 5.1431, 9.4862 Å; angles 90.00, 90.00, 120.00 degrees
Space group P-3m1 (No. 164)
One atom of each set of equivalent atoms:
Y: 0.3333 0.6667 0.2736
Hg: 0.0000 0.0000 0.1633
Hg: 0.0000 0.0000 0.5000
Hg: 0.3333 0.6667 0.6056
Hg: 0.3333 0.6667 0.9332

Record 3
The following is a DFT calculation (GGA-PBE) of a relaxed YHg2 crystal.

Summary:
Total DFT energy (no corrections), eV/atom: -2.759
ΔE_f, eV per atom: -0.403
N(E_F), states/eV/cell: 1.8

Cell lengths 4.9511, 4.9511, 3.4591 Å; angles 90.00, 90.00, 120.00 degrees
Space group P6/mmm (No. 191)
One atom of each set of equivalent atoms:
Y: 0.0000 0.0000 0.0000
Hg: 0.3333 0.6667 0.5000

Record 4
The following is a DFT calculation (GGA-PBE) of a relaxed Y4Hg crystal.

Summary:
Total DFT energy (no corrections), eV/atom: -4.914
ΔE_f, eV per atom: 0.317
Polymorph energy (0 for the lowest one), eV per atom: 0.422
N(E_F), states/eV/cell: 20.2

Cell lengths 7.0287, 7.0287, 7.0287 Å; angles 90.00, 90.00, 90.00 degrees
Space group Im-3m (No. 229)
One atom of each set of equivalent atoms:
Y: 0.2500 0.2500 0.2500
Hg: 0.0000 0.0000 0.0000

Record 5
The following is a DFT calculation (GGA-PBE) of a relaxed Y2Hg3 crystal.

Summary:
Total DFT energy (no corrections), eV/atom: -3.166
ΔE_f, eV per atom: -0.400
Polymorph energy (0 for the lowest one), eV per atom: 0.014
N(E_F), states/eV/cell: 8.3

Cell lengths 4.9498, 4.9498, 18.0327 Å; angles 90.00, 90.00, 120.00 degrees
Space group R-3m (No. 166, hexagonal axes)
One atom of each set of equivalent atoms:
Y: 0.0000 0.0000 0.0968
Hg: 0.0000 0.0000 0.3041
Hg: 0.0000 0.0000 0.5000

Record 6
The following is a DFT calculation (GGA-PBE) of a relaxed Y5Hg3 crystal.

Summary:
Total DFT energy (no corrections), eV/atom: -4.461
ΔE_f, eV per atom: -0.308
Polymorph energy (0 for the lowest one), eV per atom: 0.053
N(E_F), states/eV/cell: 23.0

Cell lengths 8.4003, 10.3041, 5.0734 Å; angles 90.00, 90.00, 90.00 degrees
Space group Cmmm (No. 65)
One atom of each set of equivalent atoms:
Y: 0.0000 0.0000 0.0000
Y: 0.2145 0.5000 0.5000
Y: 0.2500 0.2500 0.0000
Hg: 0.0000 0.2100 0.5000
Hg: 0.0000 0.5000 0.0000

Record 7
The following is a DFT calculation (GGA-PBE) of a relaxed Y2Hg crystal.

Summary:
Total DFT energy (no corrections), eV/atom: -4.629
ΔE_f, eV per atom: -0.219
N(E_F), states/eV/cell: 32.7

Cell lengths 4.7545, 4.7545, 29.0148 Å; angles 90.00, 90.00, 90.00 degrees
Space group I4_1/amd (No. 141, origin choice 2)
One atom of each set of equivalent atoms:
Y: 0.0000 0.2500 0.1223
Y: 0.0000 0.2500 0.7879
Hg: 0.0000 0.2500 0.2952

Record 8
The following is a DFT calculation (GGA-PBE) of a relaxed Y2Hg crystal.

Summary:
Total DFT energy (no corrections), eV/atom: -4.643
ΔE_f, eV per atom: -0.233
N(E_F), states/eV/cell: 2.9

Cell lengths 3.6763, 3.6763, 7.6373 Å; angles 90.00, 90.00, 120.00 degrees
Space group P-3m1 (No. 164)
One atom of each set of equivalent atoms:
Y: 0.3333 0.6667 0.3110
Hg: 0.0000 0.0000 0.0000